## Tl3IrN (PBE)

Data for an optimized crystal structure of Tl3IrN.

Values from the calculation:
- SG: Pm-3m, No. 221
- Formation energy from raw total energies: 5.0 eV per formula unit

The structure in POSCAR format:
```
Tl3IrN
1.0
5.305 0.000 0.000
0.000 5.305 0.000
0.000 0.000 5.305
Tl N Ir
3 1 1
Cartesian
0.000 0.000 2.652
0.000 2.652 0.000
2.652 0.000 0.000
2.652 2.652 2.652
0.000 0.000 0.000
```